Record 1
Entry from Alexandria via LeMat-Bulk: Pm4YHo2Tm2 after structural relaxation (PBE-GGA).

Output
E_tot = -86.7 eV/cell
crystal system = monoclinic
formation energy from the elements = 0.02 eV per atom

The structure in CIF format:
```
data_Pm4YHo2Tm2
_chemical_formula_sum 'Pm8 Y2 Ho4 Tm4'
_space_group_name_H-M_alt 'C 1 2/m 1'
_space_group_IT_number 12
_space_group_name_Hall '-C 2y'
_cell_length_a 15.1927
_cell_length_b 5.0516
_cell_length_c 8.0064
_cell_angle_alpha 90.00
_cell_angle_beta 108.37
_cell_angle_gamma 90.00
loop_
_atom_site_label
_atom_site_type_symbol
_atom_site_fract_x
_atom_site_fract_y
_atom_site_fract_z
Pm1 Pm 0.0543 0.0000 0.3318
Pm2 Pm 0.2231 0.5000 0.3322
Y1 Y 0.0000 0.5000 0.0000
Ho1 Ho 0.1116 0.5000 0.6686
Tm1 Tm 0.1678 0.0000 0.9997
```

---

Record 2
Entry from Alexandria via LeMat-Bulk: Pm3Y6HoTm2 after structural relaxation (PBE-GGA).

Output
E_tot = -132.6 eV/cell
crystal system = monoclinic
formation energy from the elements = 0.02 eV per atom

The structure in CIF format:
```
data_Pm3Y6HoTm2
_chemical_formula_sum 'Pm6 Y12 Ho2 Tm4'
_space_group_name_H-M_alt 'C 1 2/m 1'
_space_group_IT_number 12
_space_group_name_Hall '-C 2y'
_cell_length_a 6.1950
_cell_length_b 10.7237
_cell_length_c 11.8262
_cell_angle_alpha 90.00
_cell_angle_beta 100.03
_cell_angle_gamma 90.00
loop_
_atom_site_label
_atom_site_type_symbol
_atom_site_fract_x
_atom_site_fract_y
_atom_site_fract_z
Pm1 Pm 0.0000 0.0000 0.0000
Pm2 Pm 0.0000 0.3333 0.0000
Y1 Y 0.2488 0.0000 0.7462
Y2 Y 0.2492 0.3332 0.7463
Ho1 Ho 0.0000 0.5000 0.5000
Tm1 Tm 0.0000 0.1667 0.5000
```

---

Record 3
Entry from Alexandria via LeMat-Bulk: PmY2Ho6Tm after structural relaxation (PBE-GGA).

Output
E_tot = -193.5 eV/cell
crystal system = monoclinic
formation energy from the elements = 0.13 eV per atom

The structure in CIF format:
```
data_PmY2Ho6Tm
_chemical_formula_sum 'Pm4 Y8 Ho24 Tm4'
_space_group_name_H-M_alt 'C 1 2/c 1'
_space_group_IT_number 15
_space_group_name_Hall '-C 2yc'
_cell_length_a 9.1124
_cell_length_b 14.9795
_cell_length_c 9.4272
_cell_angle_alpha 90.00
_cell_angle_beta 96.11
_cell_angle_gamma 90.00
loop_
_atom_site_label
_atom_site_type_symbol
_atom_site_fract_x
_atom_site_fract_y
_atom_site_fract_z
Pm1 Pm 0.0000 0.0280 0.2500
Y1 Y 0.2470 0.4482 0.4522
Ho1 Ho 0.0610 0.1851 0.9422
Ho2 Ho 0.0979 0.3887 0.1164
Ho3 Ho 0.2105 0.2252 0.3155
Tm1 Tm 0.0000 0.4105 0.7500
```

---

Q: Among the records above, which one has the highest formation energy from the elements?
A: PmY2Ho6Tm

---

Q: What is the E_tot in the third record?
A: -193.5 eV/cell

---

Q: Among the records above, which one has the highest E_tot?
A: Pm4YHo2Tm2

---

Q: Number 3 is which compound?
A: PmY2Ho6Tm